# 1
An optimized crystal structure of GeSbMoW, computed with PBE-GGA.

As for the uncorrected formation energy: 39.4 kJ/mol of atoms. The calculation puts the calculated volume at 156 Å³/cell. The value obtained for the magnetization is 0.0 μB/cell. The calculation puts the total energy at -61.78 eV/cell. The energy above the most stable polymorph in this dataset is 261.4 meV/atom.

abc: 5.548 3.240 9.553
angles: 90.00 114.72 90.00
Fractional coordinates of all 8 atoms:
1 Ge 0.360 0.000 0.691
2 Ge 0.360 0.500 0.191
3 Sb 0.942 0.000 0.401
4 Sb 0.942 0.500 0.901
5 Mo 0.802 0.000 0.643
6 Mo 0.802 0.500 0.143
7 W 0.437 0.000 0.981
8 W 0.437 0.500 0.481

# 2
An optimized crystal structure of BaSr3Au4, computed with PBE-GGA.

The calculation puts the calculated volume at 235 Å³/cell. The value obtained for the magnetization is 0.0 μB/cell. The calculation puts the total energy at -25.79 eV/cell.

abc: 6.736 6.736 6.736
angles: 109.47 109.47 109.47
Fractional coordinates of all 8 atoms:
1 Sr 0.000 0.500 0.500
2 Sr 0.500 0.000 0.500
3 Sr 0.500 0.500 0.000
4 Au 0.000 0.000 0.500
5 Au 0.500 0.500 0.500
6 Au 0.500 0.000 0.000
7 Au 0.000 0.500 0.000
8 Ba 0.000 0.000 0.000

# 3
An optimized crystal structure of AcIn2CuAu4, computed with PBE-GGA.

The calculation puts the calculated volume at 177 Å³/cell. The value obtained for the magnetization is 0.0 μB/cell. The calculation puts the total energy at -29.87 eV/cell.

abc: 4.657 4.657 9.815
angles: 76.28 76.28 60.00
Fractional coordinates of all 8 atoms:
1 Ac 0.000 0.000 0.000
2 In 0.762 0.762 0.715
3 In 0.238 0.238 0.285
4 Cu 0.500 0.500 0.500
5 Au 0.399 0.399 0.804
6 Au 0.863 0.863 0.412
7 Au 0.137 0.137 0.588
8 Au 0.601 0.601 0.196